Record 1
Entry from the Alexandria database: crystalline Cu5Si4 at its relaxed geometry (PBE).

Cell and atoms, written as POSCAR:
```
Cu5Si4
1.0
-3.895 3.895 1.896
3.895 -3.895 1.896
3.895 3.895 -1.896
Cu Si
5 4
Direct
0.000 0.000 0.000
0.332 0.332 0.665
0.332 0.668 0.000
0.668 0.332 0.000
0.668 0.668 0.335
0.000 0.324 0.324
0.000 0.676 0.676
0.324 0.000 0.324
0.676 0.000 0.676
```

Values from the calculation:
Polymorph energy (0 for the lowest one): 0.0 meV per atom
DOS at the Fermi energy: 3.63 states/eV/cell
Total magnetization: 0.0 Bohr magnetons per cell
Formation energy from raw total energies: 1.162 eV/f.u.
Space-group type: I4/mmm

Record 2
Entry from the Alexandria database: crystalline Cu2Si at its relaxed geometry (PBE).

Cell and atoms, written as POSCAR:
```
Cu2Si
1.0
3.634 0.000 0.000
0.000 3.634 0.000
0.000 0.000 5.918
Cu Si
4 2
Direct
0.250 0.250 0.185
0.250 0.750 0.500
0.750 0.250 0.500
0.750 0.750 0.815
0.250 0.250 0.790
0.750 0.750 0.210
```

Values from the calculation:
DOS at the Fermi energy: 2.93 states/eV/cell
Total magnetization: 0.0 Bohr magnetons per cell
Formation energy from raw total energies: 0.093 eV/f.u.
Space-group type: P4/nmm

Record 3
Entry from the Alexandria database: crystalline Cu7Si6 at its relaxed geometry (PBE).

Cell and atoms, written as POSCAR:
```
Cu7Si6
1.0
2.496 1.441 8.058
-2.496 1.441 8.058
0.000 -2.882 8.058
Cu Si
7 6
Direct
0.000 0.000 0.000
0.081 0.081 0.580
0.081 0.580 0.081
0.420 0.919 0.919
0.580 0.081 0.081
0.919 0.420 0.919
0.919 0.919 0.420
0.167 0.167 0.167
0.338 0.338 0.338
0.446 0.446 0.446
0.554 0.554 0.554
0.662 0.662 0.662
0.833 0.833 0.833
```

Values from the calculation:
DOS at the Fermi energy: 6.26 states/eV/cell
Total magnetization: 0.0 Bohr magnetons per cell
Formation energy from raw total energies: 2.493 eV/f.u.
Space-group type: R-3m

Record 4
Entry from the Alexandria database: crystalline Cu3Si4 at its relaxed geometry (PBE).

Cell and atoms, written as POSCAR:
```
Cu3Si4
1.0
4.889 0.000 0.000
-2.445 4.234 0.000
0.000 0.000 4.662
Cu Si
3 4
Direct
0.000 0.500 0.000
0.500 0.000 0.000
0.500 0.500 0.000
0.000 0.000 0.250
0.000 0.000 0.750
0.333 0.667 0.500
0.667 0.333 0.500
```

Values from the calculation:
DOS at the Fermi energy: 3.47 states/eV/cell
Total magnetization: 0.0 Bohr magnetons per cell
Formation energy from raw total energies: 2.451 eV/f.u.
Space-group type: P6/mmm

Record 5
Entry from the Alexandria database: crystalline Cu5Si3 at its relaxed geometry (PBE).

Cell and atoms, written as POSCAR:
```
Cu5Si3
1.0
3.668 -3.780 0.000
3.668 3.780 0.000
0.000 0.000 3.601
Cu Si
5 3
Direct
0.000 0.000 0.000
0.000 0.500 0.000
0.249 0.751 0.500
0.500 0.000 0.000
0.751 0.249 0.500
0.243 0.243 0.500
0.500 0.500 0.000
0.757 0.757 0.500
```

Values from the calculation:
Polymorph energy (0 for the lowest one): 0.0 meV per atom
DOS at the Fermi energy: 1.95 states/eV/cell
Total magnetization: 0.0 Bohr magnetons per cell
Formation energy from raw total energies: 0.391 eV/f.u.
Space-group type: Cmmm

Record 6
Entry from the Alexandria database: crystalline Cu3Si5 at its relaxed geometry (PBE).

Cell and atoms, written as POSCAR:
```
Cu3Si5
1.0
5.763 0.000 0.000
-2.025 5.435 0.000
-1.074 -1.335 7.633
Cu Si
6 10
Direct
0.017 0.223 0.036
0.325 0.270 0.496
0.340 0.623 0.990
0.660 0.377 0.010
0.675 0.730 0.504
0.983 0.777 0.964
0.108 0.782 0.433
0.265 0.832 0.748
0.267 0.245 0.790
0.284 0.044 0.210
0.292 0.526 0.281
0.708 0.474 0.719
0.716 0.956 0.790
0.733 0.755 0.210
0.735 0.168 0.252
0.892 0.218 0.567
```

Values from the calculation:
Polymorph energy (0 for the lowest one): 0.0 meV per atom
DOS at the Fermi energy: 4.13 states/eV/cell
Total magnetization: 0.0 Bohr magnetons per cell
Formation energy from raw total energies: 1.415 eV/f.u.
Space-group type: P-1